VASP calculation (PBE) on VCr2Fe after structural relaxation.

Geometry as POSCAR:
```
VCr2Fe
1.0
2.889 0.000 0.000
0.000 2.889 0.000
0.000 0.000 5.684
Cr Fe V
2 1 1
direct
0.000 0.000 0.749 Cr
0.000 0.000 0.251 Cr
0.500 0.500 0.500 Fe
0.500 0.500 0.000 V
```

ρ	7.38	g cm⁻³
raw total energy	-9.1683	eV/atom

***

VASP calculation (PBE) on V4CrFe2 after structural relaxation.

Geometry as POSCAR:
```
V4CrFe2
1.0
4.642 0.033 -1.613
-2.304 3.999 -1.687
0.019 -0.033 4.914
V Cr Fe
4 1 2
direct
0.500 0.000 0.000 V
0.500 0.500 0.500 V
0.000 0.000 0.500 V
0.000 0.500 0.000 V
0.000 0.000 0.000 Cr
0.500 0.500 0.000 Fe
0.500 0.000 0.500 Fe
```

ρ	6.68	g cm⁻³
raw total energy	-8.8920	eV/atom

***

VASP calculation (PBE) on V2CrFe2 after structural relaxation.

Geometry as POSCAR:
```
V2CrFe2
1.0
-0.665 4.676 4.651
-2.022 -4.594 4.329
2.652 -0.416 0.797
Cr Fe V
2 4 4
direct
0.000 0.000 0.000 Cr
0.500 0.500 0.000 Cr
0.366 0.866 0.000 Fe
0.866 0.634 0.000 Fe
0.634 0.134 0.000 Fe
0.134 0.366 0.000 Fe
0.167 0.667 0.500 V
0.667 0.833 0.500 V
0.833 0.333 0.500 V
0.333 0.167 0.500 V
```

ρ	7.17	g cm⁻³
raw total energy	-8.7943	eV/atom